# HfMg6CdO8

A relaxed structure of HfMg6CdO8 (PBE, Alexandria via LeMat-Bulk).

Properties
SG	P4/mmm
crystal system	tetragonal
distance to the lowest polymorph of the same formula	0	meV/atom
ΔE_f (raw)	-2.26	eV per atom

Lattice parameters (Å, degrees): 4.4507 4.4507 9.0770 90.00 90.00 90.00
Atoms (fractional coordinates):
Mg (0.5000, 0.5000, 0.0000)
O (0.5000, 0.5000, 0.7537)
Mg (0.0000, 0.5000, 0.7594)
O (0.0000, 0.0000, 0.2712)
O (0.0000, 0.0000, 0.7288)
Mg (0.0000, 0.5000, 0.2406)
Cd (0.0000, 0.0000, 0.0000)
Mg (0.5000, 0.0000, 0.2406)
O (0.5000, 0.0000, 0.0000)
O (0.5000, 0.0000, 0.5000)
Hf (0.0000, 0.0000, 0.5000)
O (0.0000, 0.5000, 0.5000)
Mg (0.5000, 0.5000, 0.5000)
O (0.0000, 0.5000, 0.0000)
O (0.5000, 0.5000, 0.2463)
Mg (0.5000, 0.0000, 0.7594)

***

# HfMg6CdO8

A relaxed structure of HfMg6CdO8 (PBE, Alexandria via LeMat-Bulk).

Properties
SG	P4/mmm
crystal system	tetragonal
distance to the lowest polymorph of the same formula	4	meV/atom
ΔE_f (raw)	-2.25	eV per atom

Lattice parameters (Å, degrees): 4.4334 4.4334 8.9681 90.00 90.00 90.00
Atoms (fractional coordinates):
Mg (0.5000, 0.0000, 0.7342)
Mg (0.5000, 0.5000, 0.5000)
O (0.0000, 0.5000, 0.0000)
Mg (0.5000, 0.0000, 0.2658)
O (0.0000, 0.5000, 0.5000)
O (0.0000, 0.0000, 0.7266)
Hf (0.5000, 0.5000, 0.0000)
O (0.5000, 0.0000, 0.0000)
Mg (0.0000, 0.0000, 0.5000)
O (0.0000, 0.0000, 0.2734)
Cd (0.0000, 0.0000, 0.0000)
O (0.5000, 0.0000, 0.5000)
Mg (0.0000, 0.5000, 0.2658)
Mg (0.0000, 0.5000, 0.7342)
O (0.5000, 0.5000, 0.7419)
O (0.5000, 0.5000, 0.2581)

***

# HfMgCd2Pt

A relaxed structure of HfMgCd2Pt (PBE, Alexandria via LeMat-Bulk).

Properties
SG	P4/mmm
crystal system	tetragonal
energy relative to the elements	61	kJ per mole of atoms

Lattice parameters (Å, degrees): 5.5232 4.9317 5.5232 90.00 90.00 90.00
Atoms (fractional coordinates):
Mg (0.5000, 0.5000, 0.5000)
Cd (0.0000, 0.0000, 0.5000)
Cd (0.5000, 0.0000, 0.0000)
Pt (0.0000, 0.5000, 0.0000)
Hf (0.0000, 0.0000, 0.0000)

***

Number 1: Fermi-level density of states 2.45 states/eV per cell. Number 2: Fermi-level density of states 3.23 states/eV per cell. Number 3: Fermi-level density of states 4.63 states/eV per cell.